Entry 1:
# GGA-PBE LaRe2Te, relaxed
# - Magnetic moment: 0.00 μB/atom
# - Mass density: 12.1 g/cm³
# - Energy relative to the elements, uncorrected: 0.129 eV/atom
# - DOS(E_F): 0.663 states/eV/atom
# - Final energy: -32.4 eV/cell
data_LaRe2Te
_space_group_name_H-M_alt 'P 1 m 1'
_space_group_IT_number 6
_cell_length_a 3.184
_cell_length_b 3.233
_cell_length_c 8.634
_cell_angle_alpha 90.00
_cell_angle_beta 100.55
_cell_angle_gamma 90.00
loop_
_space_group_symop_operation_xyz
'x,y,z'
'x,-y,z'
loop_
_atom_site_label
_atom_site_type_symbol
_atom_site_fract_x
_atom_site_fract_y
_atom_site_fract_z
La1 La 0.000 0.000 0.000
Re1 Re 0.206 0.000 0.417
Re2 Re 0.630 0.500 0.263
Te1 Te 0.345 0.500 0.690

***

Entry 2:
# GGA-PBE RbB12, relaxed
# - Magnetic moment: 0.00 μB/atom
# - Mass density: 2.7 g/cm³
# - Formation enthalpy at 0 K: 935.2 meV/atom
# - Excess energy over the best structure of this formula in the dataset: 599.3 meV/atom
# - DOS(E_F): 0.383 states/eV/atom
# - Final energy: -68.9 eV/cell
data_RbB12
_space_group_name_H-M_alt 'P m -3 m'
_space_group_IT_number 221
_space_group_name_Hall '-P 4 2 3'
_cell_length_a 5.122
_cell_length_b 5.122
_cell_length_c 5.122
_cell_angle_alpha 90.00
_cell_angle_beta 90.00
_cell_angle_gamma 90.00
loop_
_atom_site_label
_atom_site_type_symbol
_atom_site_fract_x
_atom_site_fract_y
_atom_site_fract_z
Rb1 Rb 0.000 0.000 0.000
B1 B 0.000 0.259 0.500

***

Entry 3:
# GGA-PBE NaMgCu2Br, relaxed
# - Magnetic moment: 0.00 μB/atom
# - Mass density: 2.6 g/cm³
# - Energy relative to the elements, uncorrected: 0.350 eV/atom
# - DOS(E_F): 0.309 states/eV/atom
# - Final energy: -11.0 eV/cell
data_NaMgCu2Br
_space_group_name_H-M_alt 'P 4/m m m'
_space_group_IT_number 123
_space_group_name_Hall '-P 4 2'
_cell_length_a 4.711
_cell_length_b 4.711
_cell_length_c 7.183
_cell_angle_alpha 90.00
_cell_angle_beta 90.00
_cell_angle_gamma 90.00
loop_
_atom_site_label
_atom_site_type_symbol
_atom_site_fract_x
_atom_site_fract_y
_atom_site_fract_z
Na1 Na 0.000 0.000 0.000
Mg1 Mg 0.000 0.000 0.500
Cu1 Cu 0.000 0.500 0.500
Br1 Br 0.500 0.500 0.000

***

Entry 4:
# GGA-PBE RbSr2DyCl8, relaxed
# - Magnetic moment: 0.00 μB/atom
# - Mass density: 2.9 g/cm³
# - Energy relative to the elements, uncorrected: -2.312 eV/atom
# - DOS(E_F): 0.000 states/eV/atom
# - Final energy: -51.4 eV/cell
data_RbSr2DyCl8
_space_group_name_H-M_alt 'P 1 2/m 1'
_space_group_IT_number 10
_cell_length_a 6.604
_cell_length_b 9.143
_cell_length_c 6.788
_cell_angle_alpha 90.00
_cell_angle_beta 90.22
_cell_angle_gamma 90.00
loop_
_space_group_symop_operation_xyz
'x,y,z'
'-x,-y,-z'
'-x,y,-z'
'x,-y,z'
loop_
_atom_site_label
_atom_site_type_symbol
_atom_site_fract_x
_atom_site_fract_y
_atom_site_fract_z
Rb1 Rb 0.000 0.000 0.000
Sr1 Sr 0.500 0.251 0.500
Dy1 Dy 0.000 0.500 0.000
Cl1 Cl 0.224 0.295 0.166
Cl2 Cl 0.260 0.500 0.688
Cl3 Cl 0.276 0.000 0.627